No. 1
## LaY2Cu (PBE)

Data for an optimized crystal structure of LaY2Cu.

Calculated values
Total magnetization, μB/cell: 0.0
Density, g/cm³: 5.6
Total DFT energy (no corrections), eV per atom: -5.51
Crystal system: monoclinic

abc: 6.537 6.537 5.376
angles: 65.81 65.81 32.67
Fractional coordinates of all 4 atoms:
Cu: 0.491 0.491 0.521
La: 0.208 0.208 0.287
Y: 0.002 0.002 0.996
Y: 0.799 0.799 0.696

=====

No. 2
## La2YCu2 (PBE)

Data for an optimized crystal structure of La2YCu2.

Calculated values
Total magnetization, μB/cell: 0.0
Density, g/cm³: 6.3
Total DFT energy (no corrections), eV per atom: -5.02
Crystal system: tetragonal

abc: 8.204 8.204 3.886
angles: 90.00 90.00 90.00
Fractional coordinates of all 10 atoms:
Y: 0.000 0.000 0.000
Y: 0.500 0.500 0.000
Cu: 0.379 0.879 0.000
Cu: 0.879 0.621 0.000
Cu: 0.621 0.121 0.000
Cu: 0.121 0.379 0.000
La: 0.168 0.668 0.500
La: 0.668 0.832 0.500
La: 0.832 0.332 0.500
La: 0.332 0.168 0.500

=====

No. 3
## LaY2Cu2 (PBE)

Data for an optimized crystal structure of LaY2Cu2.

Calculated values
Total magnetization, μB/cell: 0.0
Density, g/cm³: 5.7
Total DFT energy (no corrections), eV per atom: -5.26
Crystal system: tetragonal

abc: 4.800 4.800 6.533
angles: 68.45 68.45 90.00
Fractional coordinates of all 5 atoms:
Y: 0.750 0.250 0.500
Y: 0.250 0.750 0.500
Cu: 0.394 0.394 0.213
Cu: 0.606 0.606 0.787
La: 0.000 0.000 0.000